Compound: CrSnO2
Source: the Alexandria database
Functional: GGA+U
Structure: relaxed

a = 6.822 Å, b = 6.822 Å, c = 6.822 Å
α = 26.11°, β = 26.11°, γ = 26.11°
Element x y z (fractional)
Cr1 0.000 0.000 0.000
Sn1 0.500 0.500 0.500
O1 0.384 0.384 0.384
O2 0.616 0.616 0.616

Values from the calculation:
- mass density (Mg/m³) = 6.22
- offset from the most stable computed form (kJ per mole of atoms) = 1.38